Below is a PBEsol-optimized structure of TaAlCd2, with properties calculated at the meta-GGA SCAN level.

abc: 2.9860 4.7819 5.1412
angles: 90.00 90.00 90.00
Space group Pmmm (No. 47)
Unique sites:
Ta 0.0000 0.0000 0.0000 (multiplicity 1)
Al 0.5000 0.5000 0.0000 (multiplicity 1)
Cd 0.0000 0.5000 0.5000 (multiplicity 1)
Cd 0.5000 0.0000 0.5000 (multiplicity 1)

The calculation puts the total magnetization at 0.00 μB/atom. The total DFT energy (no corrections) comes out at -134.29 eV per cell. The density of states at the Fermi level is 0.486 states/eV per atom.

Below is a PBEsol-optimized structure of Li8NiO4F2, with properties calculated at the meta-GGA SCAN level.

abc: 5.1446 5.2865 5.6123
angles: 90.85 114.95 109.05
Space group P-1 (No. 2)
Unique sites:
Li 0.0684 0.1387 0.3658 (multiplicity 2)
Li 0.0821 0.2431 0.9549 (multiplicity 2)
Li 0.3177 0.5569 0.7177 (multiplicity 2)
Li 0.4263 0.7976 0.3762 (multiplicity 2)
Ni 0.5000 0.0000 0.0000 (multiplicity 1)
O 0.2941 0.1934 0.7539 (multiplicity 2)
O 0.3448 0.0957 0.2292 (multiplicity 2)
F 0.0785 0.4898 0.2882 (multiplicity 2)

The calculation puts the total magnetization at 0.00 μB/atom. The total DFT energy (no corrections) comes out at -99.69 eV per cell. The density of states at the Fermi level is 0.000 states/eV per atom.

Below is a PBEsol-optimized structure of Ta7S12, with properties calculated at the meta-GGA SCAN level.

abc: 5.6792 9.8371 12.5338
angles: 90.00 98.70 90.00
Space group C2/m (No. 12)
Unique sites:
Ta 0.0000 0.0000 0.0000 (multiplicity 2)
Ta 0.0842 0.0000 0.2523 (multiplicity 4)
Ta 0.0839 0.3333 0.2511 (multiplicity 8)
S 0.2052 0.5000 0.1222 (multiplicity 4)
S 0.2069 0.3329 0.6228 (multiplicity 8)
S 0.2084 0.0000 0.6227 (multiplicity 4)
S 0.2087 0.1678 0.1222 (multiplicity 8)

The calculation puts the total magnetization at 0.02 μB/atom. The total DFT energy (no corrections) comes out at -1207.25 eV per cell. The density of states at the Fermi level is 0.390 states/eV per atom.

Below is a PBEsol-optimized structure of GdSe2, with properties calculated at the meta-GGA SCAN level.

abc: 4.0328 4.0328 8.2838
angles: 90.00 90.00 90.00
Space group P4/nmm (No. 129, origin choice 2)
Unique sites:
Gd 0.2500 0.2500 0.2261 (multiplicity 2)
Se 0.2500 0.2500 0.8679 (multiplicity 2)
Se 0.2500 0.7500 0.5000 (multiplicity 2)

The calculation puts the total magnetization at 2.33 μB/atom. The total DFT energy (no corrections) comes out at -208.35 eV per cell. The density of states at the Fermi level is 0.110 states/eV per atom.